This record from Alexandria via LeMat-Bulk describes an optimized crystal structure of TcSbTe2I. The functional is PBE.

For the uncorrected formation energy, the calculation gives 111.8 kJ/mol of atoms. The total energy comes out at -3.31 eV/atom. Its density of states at the Fermi level is 4.0 states/eV per cell.

Lattice parameters (Å, degrees): 5.804 5.804 5.784 90.00 90.00 90.00
Space group P4/mmm (No. 123)
One atom of each set of equivalent atoms:
Tc: 0.000 0.000 0.000 x1
Sb: 0.500 0.500 0.500 x1
Te: 0.000 0.500 0.500 x2
I: 0.500 0.500 0.000 x1



This record from Alexandria via LeMat-Bulk describes an optimized crystal structure of TlTcSbI2. The functional is PBE.

For the uncorrected formation energy, the calculation gives 118.0 kJ/mol of atoms. The total energy comes out at -2.77 eV/atom. Its density of states at the Fermi level is 2.6 states/eV per cell.

Lattice parameters (Å, degrees): 6.059 6.059 5.868 90.00 90.00 90.00
Space group P4/mmm (No. 123)
One atom of each set of equivalent atoms:
Tl: 0.000 0.000 0.000 x1
Tc: 0.500 0.500 0.500 x1
Sb: 0.000 0.000 0.500 x1
I: 0.000 0.500 0.000 x2



This record from Alexandria via LeMat-Bulk describes an optimized crystal structure of TlTcSbI2. The functional is PBE.

For the uncorrected formation energy, the calculation gives 23.4 kJ/mol of atoms. The total energy comes out at -3.75 eV/atom. Its density of states at the Fermi level is 3.9 states/eV per cell.

Lattice parameters (Å, degrees): 5.803 5.803 5.098 90.00 90.00 90.00
Space group P4/mmm (No. 123)
One atom of each set of equivalent atoms:
Tl: 0.000 0.000 0.000 x1
Tc: 0.500 0.500 0.500 x1
Sb: 0.500 0.500 0.000 x1
I: 0.000 0.500 0.500 x2



no.,energy relative to the lowest polymorph listed for this composition (meV/atom)
1,791
2,981
3,0